(1)
Compound: In4NiSb
Source: Alexandria via LeMat-Bulk
Functional: PBE
Structure: relaxed

Unit cell a=6.039 b=6.039 c=6.039 alpha=60.00 beta=60.00 gamma=60.00
Each line ends with the local moment (μB).
Positions (direct):
In1 0.874 0.375 0.375  0.00
In2 0.375 0.375 0.874  0.00
In3 0.375 0.874 0.375  0.00
In4 0.375 0.375 0.375  0.00
Ni1 0.750 0.750 0.750  0.38
Sb1 0.000 0.000 0.000  0.01

Total magnetization in μB/atom: 0.064
Fermi-level density of states in states/eV/atom: 1.071
Space group: F-43m
Crystal system: cubic

(2)
Compound: CaMgSnBi
Source: Alexandria via LeMat-Bulk
Functional: PBE
Structure: relaxed

Unit cell a=5.402 b=5.402 c=5.402 alpha=60.00 beta=60.00 gamma=60.00
Positions (direct):
Mg1 0.500 0.500 0.500
Ca1 0.000 0.000 0.000
Bi1 0.750 0.750 0.750
Sn1 0.250 0.250 0.250

Total magnetization in μB/atom: 0.000
Fermi-level density of states in states/eV/atom: 0.489
Space group: F-43m
Crystal system: cubic

(3)
Compound: Sm2YPu
Source: Alexandria via LeMat-Bulk
Functional: PBE
Structure: relaxed

Unit cell a=3.493 b=3.493 c=12.531 alpha=81.99 beta=81.99 gamma=60.00
Each line ends with the local moment (μB).
Positions (direct):
Y1 0.500 0.500 0.500  -0.01
Sm1 0.088 0.088 0.736  0.07
Sm2 0.912 0.912 0.264  0.07
Pu1 0.000 0.000 0.000  5.82

E above lowest polymorph in meV/atom: 158
Total magnetization in μB/atom: 1.633
Fermi-level density of states in states/eV/atom: 3.141
Space group: R-3m
Crystal system: trigonal

(4)
Compound: ErTmCd
Source: Alexandria via LeMat-Bulk
Functional: PBE
Structure: relaxed

Unit cell a=5.087 b=5.087 c=5.086 alpha=90.10 beta=119.95 gamma=119.94
Positions (direct):
Er1 0.944 0.472 0.417
Tm1 0.944 0.972 0.917
Cd1 0.444 0.222 0.667

E above lowest polymorph in meV/atom: 282
Total magnetization in μB/atom: 0.000
Fermi-level density of states in states/eV/atom: 0.931
Space group: I-4m2
Crystal system: tetragonal

(5)
Compound: Y2ThSc4
Source: Alexandria via LeMat-Bulk
Functional: PBE
Structure: relaxed

Unit cell a=3.447 b=3.446 c=19.087 alpha=95.19 beta=90.00 gamma=120.01
Positions (direct):
Y1 0.619 0.237 0.092
Y2 0.715 0.430 0.380
Th1 0.810 0.620 0.670
Sc1 0.903 0.806 0.948
Sc2 0.429 0.858 0.525
Sc3 0.001 0.001 0.236
Sc4 0.525 0.051 0.817

E above lowest polymorph in meV/atom: 0
Total magnetization in μB/atom: 0.001
Fermi-level density of states in states/eV/atom: 1.857
Space group: Cm
Crystal system: monoclinic

(6)
Compound: Sc2SbAs
Source: Alexandria via LeMat-Bulk
Functional: PBE
Structure: relaxed

Unit cell a=3.459 b=3.459 c=7.622 alpha=90.00 beta=90.00 gamma=106.13
Positions (direct):
As1 0.500 0.500 0.250
Sb1 0.500 0.500 0.750
Sc1 0.000 0.000 0.022
Sc2 0.000 0.000 0.478

Total magnetization in μB/atom: 0.000
Fermi-level density of states in states/eV/atom: 0.597
Space group: Cmmm
Crystal system: orthorhombic

(7)
Compound: La2TcC
Source: Alexandria via LeMat-Bulk
Functional: PBE
Structure: relaxed

Unit cell a=3.995 b=7.379 c=7.793 alpha=103.72 beta=104.85 gamma=90.00
Positions (direct):
La1 0.123 0.561 0.244
La2 0.877 0.439 0.756
La3 0.121 0.061 0.244
La4 0.879 0.939 0.756
Tc1 0.500 0.250 0.000
Tc2 0.500 0.750 0.000
C1 0.000 0.750 0.000
C2 0.000 0.250 0.000

E above lowest polymorph in meV/atom: 0
Total magnetization in μB/atom: 0.000
Fermi-level density of states in states/eV/atom: 0.554
Space group: C2/c
Crystal system: monoclinic

(8)
Compound: LiGa2Pb
Source: Alexandria via LeMat-Bulk
Functional: PBE
Structure: relaxed

Unit cell a=5.673 b=4.527 c=6.844 alpha=90.00 beta=104.83 gamma=90.00
Positions (direct):
Li1 0.076 0.000 0.704
Li2 0.595 0.000 0.031
Ga1 0.569 0.000 0.619
Ga2 0.288 0.500 0.551
Ga3 0.301 0.500 0.952
Ga4 0.792 0.500 0.863
Pb1 0.734 0.500 0.359
Pb2 0.141 0.000 0.193

Total magnetization in μB/atom: 0.000
Fermi-level density of states in states/eV/atom: 0.308
Space group: Pm
Crystal system: monoclinic

(9)
Compound: LaP2Pd
Source: Alexandria via LeMat-Bulk
Functional: PBE
Structure: relaxed

Unit cell a=4.418 b=4.418 c=18.047 alpha=90.00 beta=90.00 gamma=90.00
Positions (direct):
La1 0.760 0.859 0.368
La2 0.141 0.760 0.618
La3 0.859 0.240 0.118
La4 0.240 0.141 0.868
P1 0.619 0.210 0.601
P2 0.790 0.619 0.851
P3 0.210 0.381 0.351
P4 0.381 0.790 0.101
P5 0.866 0.364 0.501
P6 0.636 0.866 0.751
P7 0.364 0.134 0.251
P8 0.134 0.636 0.001
Pd1 0.638 0.757 0.974
Pd2 0.243 0.638 0.224
Pd3 0.757 0.362 0.724
Pd4 0.362 0.243 0.474

Total magnetization in μB/atom: 0.000
Fermi-level density of states in states/eV/atom: 0.233
Space group: P4_1
Crystal system: tetragonal

(10)
Compound: HfAl3Rh
Source: Alexandria via LeMat-Bulk
Functional: PBE
Structure: relaxed

Unit cell a=5.240 b=7.969 c=7.978 alpha=99.00 beta=90.00 gamma=90.00
Positions (direct):
Hf1 0.120 0.789 0.384
Hf2 0.880 0.211 0.616
Hf3 0.620 0.711 0.616
Hf4 0.380 0.289 0.384
Al1 0.839 0.549 0.888
Al2 0.161 0.451 0.112
Al3 0.339 0.951 0.112
Al4 0.661 0.049 0.888
Al5 0.595 0.642 0.221
Al6 0.405 0.358 0.779
Al7 0.095 0.858 0.779
Al8 0.905 0.142 0.221
Al9 0.861 0.446 0.375
Al10 0.139 0.554 0.625
Al11 0.361 0.054 0.625
Al12 0.639 0.946 0.375
Rh1 0.643 0.344 0.057
Rh2 0.357 0.656 0.943
Rh3 0.143 0.156 0.943
Rh4 0.857 0.844 0.057

E above lowest polymorph in meV/atom: 0
Total magnetization in μB/atom: 0.000
Fermi-level density of states in states/eV/atom: 0.313
Space group: P2_1/c
Crystal system: monoclinic

(11)
Compound: CeDyHo2Tm
Source: Alexandria via LeMat-Bulk
Functional: PBE
Structure: relaxed

Unit cell a=7.186 b=7.619 c=5.795 alpha=90.00 beta=90.00 gamma=90.00
Each line ends with the local moment (μB).
Positions (direct):
Ce1 0.000 0.000 0.000  1.00
Ce2 0.000 0.000 0.500  1.00
Dy1 0.157 0.500 0.750  0.00
Dy2 0.843 0.500 0.250  0.00
Ho1 0.678 0.708 0.750  0.06
Ho2 0.678 0.292 0.750  0.06
Ho3 0.322 0.708 0.250  0.06
Ho4 0.322 0.292 0.250  0.06
Tm1 0.613 0.000 0.250  0.12
Tm2 0.387 0.000 0.750  0.12

Total magnetization in μB/atom: 0.318
Fermi-level density of states in states/eV/atom: 1.876
Space group: Pmma
Crystal system: orthorhombic

(12)
Compound: Ce2SiPt2Rh4
Source: Alexandria via LeMat-Bulk
Functional: PBE
Structure: relaxed

Unit cell a=6.043 b=6.043 c=6.043 alpha=91.14 beta=119.34 gamma=119.34
Each line ends with the local moment (μB).
Positions (direct):
Ce1 0.500 0.750 0.250  0.32
Ce2 0.500 0.250 0.750  0.32
Si1 0.000 0.000 0.000  0.00
Pt1 0.000 0.727 0.727  -0.01
Pt2 0.000 0.273 0.273  -0.01
Rh1 0.000 0.734 0.266  -0.04
Rh2 0.468 0.734 0.734  -0.04
Rh3 0.000 0.266 0.734  -0.04
Rh4 0.532 0.266 0.266  -0.04

Total magnetization in μB/atom: 0.054
Fermi-level density of states in states/eV/atom: 0.617
Space group: I4/mmm
Crystal system: tetragonal

(13)
Compound: Nd3Zn6GaAu2
Source: Alexandria via LeMat-Bulk
Functional: PBE
Structure: relaxed

Unit cell a=5.536 b=5.536 c=9.562 alpha=90.00 beta=90.00 gamma=120.00
Positions (direct):
Nd1 0.333 0.667 0.587
Nd2 0.667 0.333 0.413
Nd3 0.000 0.000 0.000
Zn1 0.657 0.828 0.269
Zn2 0.172 0.343 0.269
Zn3 0.172 0.828 0.269
Zn4 0.828 0.657 0.731
Zn5 0.343 0.172 0.731
Zn6 0.828 0.172 0.731
Ga1 0.000 0.000 0.500
Au1 0.667 0.333 0.969
Au2 0.333 0.667 0.031

Total magnetization in μB/atom: 0.000
Fermi-level density of states in states/eV/atom: 0.636
Space group: P-3m1
Crystal system: trigonal

Number 1: calculated total energy -17.69 eV/cell. Number 2: calculated total energy -12.81 eV/cell. Number 3: calculated total energy -29.17 eV/cell. Number 4: calculated total energy -9.67 eV/cell. Number 5: calculated total energy -45.30 eV/cell. Number 6: calculated total energy -24.89 eV/cell. Number 7: calculated total energy -59.55 eV/cell. Number 8: calculated total energy -24.20 eV/cell. Number 9: calculated total energy -98.13 eV/cell. Number 10: calculated total energy -125.53 eV/cell. Number 11: calculated total energy -45.29 eV/cell. Number 12: calculated total energy -66.75 eV/cell. Number 13: calculated total energy -34.85 eV/cell.